Computed, not measured: a geometry-optimized Na3TmRh3O8 structure at the PBE level of DFT.

## Properties
Raw formation energy, eV per atom: -1.45
VASP energy, eV/cell: -92.0
Mass density, g/cm3: 6.0

abc: 6.576 6.576 6.576
angles: 56.93 56.93 56.93
Element x y z (fractional)
Na1 0.000 0.500 0.500
Na2 0.500 0.000 0.500
Na3 0.500 0.500 0.000
Tm1 0.500 0.500 0.500
Rh1 0.000 0.000 0.500
Rh2 0.000 0.500 0.000
Rh3 0.500 0.000 0.000
O1 0.217 0.742 0.742
O2 0.231 0.231 0.231
O3 0.258 0.258 0.783
O4 0.258 0.783 0.258
O5 0.742 0.217 0.742
O6 0.742 0.742 0.217
O7 0.769 0.769 0.769
O8 0.783 0.258 0.258